Record 1
Entry from Alexandria via LeMat-Bulk: InOF after structural relaxation (PBE).

Cell: 6.7061 6.3005 5.5641 Å, 68.51 60.95 50.54°
With the nearest neighbours (Å) after each atom.
Fractional coordinates of all 12 atoms:
In: 0.4506 0.0494 0.4506  2 F 2.16, 4 O 2.18-2.22
O: 0.3864 0.3864 0.1136  4 In 2.18-2.22
In: 0.0494 0.4506 0.0494  2 F 2.16, 4 O 2.18-2.22
O: 0.1136 0.1136 0.3864  4 In 2.18-2.22
F: 0.6250 0.6250 0.1250  2 In 2.16
F: 0.6250 0.1250 0.6250  2 In 2.16
O: 0.1364 0.1364 0.8636  4 In 2.18-2.22
In: 0.2006 0.7994 0.2006  2 F 2.16, 4 O 2.18-2.22
O: 0.8636 0.8636 0.1364  4 In 2.18-2.22
F: 0.6250 0.6250 0.6250  2 In 2.16
F: 0.1250 0.6250 0.6250  2 In 2.16
In: 0.7994 0.2006 0.7994  2 F 2.16, 4 O 2.18-2.22

Values from the calculation:
Its symmetry is Fddd. Its energy is -5.20 eV per atom. The calculation puts the calculated density at 6.3 g/cm³. For the total magnetization, the calculation gives 0.00 μB/f.u.

---

Record 2
Entry from Alexandria via LeMat-Bulk: InOF3 after structural relaxation (PBE).

Cell: 3.9769 3.9769 3.9769 Å, 90.00 90.00 90.00°
With the nearest neighbours (Å) after each atom.
Fractional coordinates of all 5 atoms:
In: 0.5000 0.5000 0.5000  12 F 2.81
F: 0.0000 0.0000 0.5000  2 O 1.99
F: 0.0000 0.5000 0.0000  2 O 1.99
O: 0.0000 0.0000 0.0000  6 F 1.99
F: 0.5000 0.0000 0.0000  2 O 1.99

Values from the calculation:
Its symmetry is Pm-3m. Its energy is -3.07 eV per atom. The polymorph energy (0 for the lowest one) comes out at 1549 meV/atom. The calculation puts the calculated density at 5.0 g/cm³. For the total magnetization, the calculation gives 0.00 μB/f.u.

---

Record 3
Entry from Alexandria via LeMat-Bulk: In3O4F after structural relaxation (PBE).

Cell: 5.6080 6.2951 7.5824 Å, 108.04 90.00 116.45°
With the nearest neighbours (Å) after each atom.
Fractional coordinates of all 16 atoms:
In: 0.6674 0.3523 0.8703  4 O 2.11-2.28, 1 F 2.20
F: 0.6448 0.9780 0.7411  3 In 2.20-2.37
O: 0.5688 0.4527 0.6431  4 In 2.16-2.41
In: 0.2893 0.5707 0.0810  5 O 2.13-2.23, 1 F 2.37
In: 0.6849 0.3523 0.3703  4 O 2.11-2.28, 1 F 2.20
O: 0.0472 0.7592 0.5303  4 In 2.17-2.37
O: 0.2724 0.2141 0.9341  3 In 2.07-2.13
In: 0.9480 0.8583 0.8112  4 O 2.07-2.24, 1 F 2.27
O: 0.8839 0.4527 0.1431  4 In 2.16-2.41
In: 0.9103 0.8583 0.3112  4 O 2.07-2.24, 1 F 2.27
O: 0.9417 0.2141 0.4341  3 In 2.07-2.13
In: 0.2814 0.5707 0.5810  5 O 2.13-2.23, 1 F 2.37
O: 0.7120 0.7592 0.0303  4 In 2.17-2.37
F: 0.3332 0.9780 0.2411  3 In 2.20-2.37
O: 0.4944 0.5945 0.3386  4 In 2.20-2.28
O: 0.1002 0.5945 0.8386  4 In 2.20-2.28

Values from the calculation:
Its symmetry is Cc. Its energy is -5.41 eV per atom. The calculation puts the calculated density at 6.3 g/cm³. For the total magnetization, the calculation gives 0.00 μB/f.u.

---

Record 4
Entry from Alexandria via LeMat-Bulk: InO3F after structural relaxation (PBE).

Cell: 4.1525 4.1525 4.1525 Å, 90.00 90.00 90.00°
With the nearest neighbours (Å) after each atom.
Fractional coordinates of all 5 atoms:
O: 0.0000 0.0000 0.5000  2 In 2.08
O: 0.5000 0.0000 0.0000  2 In 2.08
In: 0.0000 0.0000 0.0000  6 O 2.08
O: 0.0000 0.5000 0.0000  2 In 2.08
F: 0.5000 0.5000 0.5000  12 O 2.94

Values from the calculation:
Its symmetry is Pm-3m. Its energy is -3.72 eV per atom. The calculation puts the calculated density at 4.2 g/cm³. For the total magnetization, the calculation gives 4.00 μB/f.u.

---

Record 5
Entry from Alexandria via LeMat-Bulk: InO2F after structural relaxation (PBE).

Cell: 3.8922 3.8922 3.8922 Å, 60.00 60.00 60.00°
With the nearest neighbours (Å) after each atom.
Fractional coordinates of all 4 atoms:
O: 0.2500 0.2500 0.2500  4 In 2.38, 4 F 2.38
In: 0.5000 0.5000 0.5000  8 O 2.38
O: 0.7500 0.7500 0.7500  4 In 2.38, 4 F 2.38
F: 0.0000 0.0000 0.0000  8 O 2.38

Values from the calculation:
Its symmetry is Fm-3m. Its energy is -4.08 eV per atom. The polymorph energy (0 for the lowest one) comes out at 260 meV/atom. The calculation puts the calculated density at 6.6 g/cm³. For the total magnetization, the calculation gives 2.00 μB/f.u.

---

Record 6
Entry from Alexandria via LeMat-Bulk: InOsOF2 after structural relaxation (PBE).

Cell: 4.4576 4.4576 3.7998 Å, 90.00 90.00 90.00°
With the nearest neighbours (Å) after each atom.
Fractional coordinates of all 5 atoms:
In: 0.5000 0.5000 0.5000  8 F 2.93, 4 O 3.15
F: 0.5000 0.0000 0.0000  2 Os 2.23
O: 0.0000 0.0000 0.5000  2 Os 1.90
F: 0.0000 0.5000 0.0000  2 Os 2.23
Os: 0.0000 0.0000 0.0000  2 O 1.90

Values from the calculation:
Its symmetry is P4/mmm. Its energy is -5.43 eV per atom. The polymorph energy (0 for the lowest one) comes out at 0 meV/atom. The calculation puts the calculated density at 7.9 g/cm³. For the total magnetization, the calculation gives 0.00 μB/f.u.

---

Record 7
Entry from Alexandria via LeMat-Bulk: InOsOF2 after structural relaxation (PBE).

Cell: 4.3785 4.3785 4.1331 Å, 90.00 90.00 90.00°
With the nearest neighbours (Å) after each atom.
Fractional coordinates of all 5 atoms:
O: 0.0000 0.0000 0.5000  2 In 2.07
In: 0.0000 0.0000 0.0000  2 O 2.07, 4 F 2.19
Os: 0.5000 0.5000 0.5000  8 F 3.01, 4 O 3.10
F: 0.5000 0.0000 0.0000  2 In 2.19
F: 0.0000 0.5000 0.0000  2 In 2.19

Values from the calculation:
Its symmetry is P4/mmm. Its energy is -4.70 eV per atom. The polymorph energy (0 for the lowest one) comes out at 727 meV/atom. The calculation puts the calculated density at 7.5 g/cm³. For the total magnetization, the calculation gives 4.64 μB/f.u.

---

Record 8
Entry from Alexandria via LeMat-Bulk: InPO4F after structural relaxation (PBE).

Cell: 5.5840 5.5840 6.5014 Å, 76.21 76.21 74.52°
With the nearest neighbours (Å) after each atom.
Fractional coordinates of all 14 atoms:
O: 0.4826 0.1242 0.1602  1 P 1.55
O: 0.7209 0.7209 0.4862  1 P 1.52
O: 0.4632 0.4632 0.7736  1 P 1.54
In: 0.7967 0.7967 0.1229  2 F 2.15, 4 O 2.19-2.25
F: 0.9779 0.9779 0.8178  2 In 2.15
P: 0.3569 0.3569 0.2706  4 O 1.52-1.55
In: 0.2033 0.2033 0.8771  2 F 2.15, 4 O 2.19-2.25
O: 0.2791 0.2791 0.5138  1 P 1.52
O: 0.5368 0.5368 0.2264  1 P 1.54
P: 0.6431 0.6431 0.7294  4 O 1.52-1.55
F: 0.0221 0.0221 0.1822  2 In 2.15
O: 0.5174 0.8758 0.8398  1 P 1.55
O: 0.8758 0.5174 0.8398  1 P 1.55
O: 0.1242 0.4826 0.1602  1 P 1.55

Values from the calculation:
Its symmetry is C2/m. Its energy is -6.04 eV per atom. The calculation puts the calculated density at 4.1 g/cm³. For the total magnetization, the calculation gives 1.03 μB/f.u.

---

Record 9
Entry from Alexandria via LeMat-Bulk: InPOF2 after structural relaxation (PBE).

Cell: 4.5803 4.5803 3.5815 Å, 90.00 90.00 90.00°
With the nearest neighbours (Å) after each atom.
Fractional coordinates of all 5 atoms:
In: 0.5000 0.5000 0.5000  8 F 2.91, 4 O 3.24
F: 0.5000 0.0000 0.0000  2 P 2.29
P: 0.0000 0.0000 0.0000  2 O 1.79
O: 0.0000 0.0000 0.5000  2 P 1.79
F: 0.0000 0.5000 0.0000  2 P 2.29

Values from the calculation:
Its symmetry is P4/mmm. Its energy is -4.59 eV per atom. The polymorph energy (0 for the lowest one) comes out at 0 meV/atom. The calculation puts the calculated density at 4.4 g/cm³. For the total magnetization, the calculation gives 0.00 μB/f.u.

---

Record 10
Entry from Alexandria via LeMat-Bulk: InPOF2 after structural relaxation (PBE).

Cell: 4.2669 4.2669 4.3746 Å, 90.00 90.00 90.00°
With the nearest neighbours (Å) after each atom.
Fractional coordinates of all 5 atoms:
O: 0.0000 0.0000 0.5000  2 In 2.19
In: 0.0000 0.0000 0.0000  4 F 2.13, 2 O 2.19
P: 0.5000 0.5000 0.5000  4 O 3.02, 8 F 3.06
F: 0.5000 0.0000 0.0000  2 In 2.13
F: 0.0000 0.5000 0.0000  2 In 2.13

Values from the calculation:
Its symmetry is P4/mmm. Its energy is -4.20 eV per atom. The polymorph energy (0 for the lowest one) comes out at 391 meV/atom. The calculation puts the calculated density at 4.2 g/cm³. For the total magnetization, the calculation gives 2.00 μB/f.u.

---

Record 11
Entry from Alexandria via LeMat-Bulk: InPbOF2 after structural relaxation (PBE).

Cell: 4.5189 4.5189 4.3195 Å, 90.00 90.00 90.00°
With the nearest neighbours (Å) after each atom.
Fractional coordinates of all 5 atoms:
In: 0.0000 0.0000 0.0000  2 O 2.16, 4 F 2.26
O: 0.0000 0.0000 0.5000  2 In 2.16
F: 0.5000 0.0000 0.0000  2 In 2.26
F: 0.0000 0.5000 0.0000  2 In 2.26
Pb: 0.5000 0.5000 0.5000  8 F 3.13, 4 O 3.20

Values from the calculation:
Its symmetry is P4/mmm. Its energy is -4.61 eV per atom. The calculation puts the calculated density at 7.1 g/cm³. For the total magnetization, the calculation gives 0.00 μB/f.u.

---

Record 12
Entry from Alexandria via LeMat-Bulk: InPtOF2 after structural relaxation (PBE).

Cell: 4.6132 3.7907 4.6132 Å, 90.00 90.00 90.00°
With the nearest neighbours (Å) after each atom.
Fractional coordinates of all 5 atoms:
Pt: 0.0000 0.0000 0.0000  2 O 1.90
F: 0.0000 0.0000 0.5000  2 Pt 2.31
F: 0.5000 0.0000 0.0000  2 Pt 2.31
O: 0.0000 0.5000 0.0000  2 Pt 1.90
In: 0.5000 0.5000 0.5000  8 F 2.99, 4 O 3.26

Values from the calculation:
Its symmetry is P4/mmm. Its energy is -4.35 eV per atom. The polymorph energy (0 for the lowest one) comes out at 0 meV/atom. The calculation puts the calculated density at 7.5 g/cm³. For the total magnetization, the calculation gives 0.00 μB/f.u.

---

Record 13
Entry from Alexandria via LeMat-Bulk: InPtOF2 after structural relaxation (PBE).

Cell: 4.2398 4.2398 4.2700 Å, 90.00 90.00 90.00°
With the nearest neighbours (Å) after each atom.
Fractional coordinates of all 5 atoms:
In: 0.0000 0.0000 0.0000  4 F 2.12, 2 O 2.13
O: 0.0000 0.0000 0.5000  2 In 2.13
Pt: 0.5000 0.5000 0.5000  4 O 3.00, 8 F 3.01
F: 0.0000 0.5000 0.0000  2 In 2.12
F: 0.5000 0.0000 0.0000  2 In 2.12

Values from the calculation:
Its symmetry is P4/mmm. Its energy is -4.23 eV per atom. The polymorph energy (0 for the lowest one) comes out at 127 meV/atom. The calculation puts the calculated density at 7.9 g/cm³. For the total magnetization, the calculation gives 1.08 μB/f.u.

---

Record 14
Entry from Alexandria via LeMat-Bulk: Rb2InOF6 after structural relaxation (PBE).

Cell: 6.1980 6.1980 6.2059 Å, 60.04 60.04 90.00°
With the nearest neighbours (Å) after each atom.
Fractional coordinates of all 10 atoms:
F: 0.2394 0.2394 0.0000  1 In 2.10, 1 O 2.28
Rb: 0.2500 0.7500 0.5000  12 F 3.10
O: 0.5000 0.5000 0.0000  6 F 2.28-2.30
Rb: 0.7500 0.2500 0.5000  12 F 3.10
F: 0.7612 0.7612 0.4775  1 In 2.10, 1 O 2.30
F: 0.2388 0.2388 0.5225  1 In 2.10, 1 O 2.30
F: 0.2394 0.7606 0.0000  1 In 2.10, 1 O 2.28
In: 0.0000 0.0000 0.0000  6 F 2.10
F: 0.7606 0.2394 0.0000  1 In 2.10, 1 O 2.28
F: 0.7606 0.7606 0.0000  1 In 2.10, 1 O 2.28

Values from the calculation:
Its symmetry is I4/mmm. Its energy is -4.03 eV per atom. The calculation puts the calculated density at 4.1 g/cm³. For the total magnetization, the calculation gives 3.00 μB/f.u.

---

Record 15
Entry from Alexandria via LeMat-Bulk: RbInO2F after structural relaxation (PBE).

Cell: 4.4386 4.4386 5.0659 Å, 90.00 90.00 90.00°
With the nearest neighbours (Å) after each atom.
Fractional coordinates of all 5 atoms:
Rb: 0.0000 0.0000 0.0000  4 O 2.22
O: 0.0000 0.5000 0.0000  2 Rb 2.22
In: 0.5000 0.5000 0.5000  4 F 3.14, 8 O 3.37
O: 0.5000 0.0000 0.0000  2 Rb 2.22
F: 0.0000 0.0000 0.5000  2 Rb 2.53

Values from the calculation:
Its symmetry is P4/mmm. Its energy is -3.11 eV per atom. The calculation puts the calculated density at 4.2 g/cm³. For the total magnetization, the calculation gives 0.71 μB/f.u.

---

Record 16
Entry from Alexandria via LeMat-Bulk: RbInO2F after structural relaxation (PBE).

Cell: 4.2274 4.2274 4.6065 Å, 90.00 90.00 90.00°
With the nearest neighbours (Å) after each atom.
Fractional coordinates of all 5 atoms:
O: 0.5000 0.0000 0.0000  2 In 2.11
F: 0.0000 0.0000 0.5000  2 In 2.30
Rb: 0.5000 0.5000 0.5000  4 F 2.99, 8 O 3.13
In: 0.0000 0.0000 0.0000  4 O 2.11, 2 F 2.30
O: 0.0000 0.5000 0.0000  2 In 2.11

Values from the calculation:
Its symmetry is P4/mmm. Its energy is -4.65 eV per atom. The calculation puts the calculated density at 5.1 g/cm³. For the total magnetization, the calculation gives 0.98 μB/f.u.

---

Record 17
Entry from Alexandria via LeMat-Bulk: InReO2F after structural relaxation (PBE).

Cell: 4.2129 4.2129 4.1549 Å, 90.00 90.00 90.00°
With the nearest neighbours (Å) after each atom.
Fractional coordinates of all 5 atoms:
Re: 0.5000 0.5000 0.5000  8 O 2.96, 4 F 2.98
In: 0.0000 0.0000 0.0000  2 F 2.08, 4 O 2.11
O: 0.5000 0.0000 0.0000  2 In 2.11
O: 0.0000 0.5000 0.0000  2 In 2.11
F: 0.0000 0.0000 0.5000  2 In 2.08

Values from the calculation:
Its symmetry is P4/mmm. Its energy is -5.48 eV per atom. The calculation puts the calculated density at 7.9 g/cm³. For the total magnetization, the calculation gives 4.99 μB/f.u.

---

Record 18
Entry from Alexandria via LeMat-Bulk: InReOF2 after structural relaxation (PBE).

Cell: 4.4197 4.4197 4.1289 Å, 90.00 90.00 90.00°
With the nearest neighbours (Å) after each atom.
Fractional coordinates of all 5 atoms:
O: 0.0000 0.0000 0.5000  2 In 2.06
In: 0.0000 0.0000 0.0000  2 O 2.06, 4 F 2.21
F: 0.0000 0.5000 0.0000  2 In 2.21
Re: 0.5000 0.5000 0.5000  8 F 3.02, 4 O 3.13
F: 0.5000 0.0000 0.0000  2 In 2.21

Values from the calculation:
Its symmetry is P4/mmm. Its energy is -5.11 eV per atom. The polymorph energy (0 for the lowest one) comes out at 734 meV/atom. The calculation puts the calculated density at 7.3 g/cm³. For the total magnetization, the calculation gives 5.76 μB/f.u.

---

Record 19
Entry from Alexandria via LeMat-Bulk: InReO2F after structural relaxation (PBE).

Cell: 3.8750 3.8750 4.7600 Å, 90.00 90.00 90.00°
With the nearest neighbours (Å) after each atom.
Fractional coordinates of all 5 atoms:
Re: 0.0000 0.0000 0.0000  4 O 1.94
F: 0.0000 0.0000 0.5000  2 Re 2.38
In: 0.5000 0.5000 0.5000  4 F 2.74
O: 0.5000 0.0000 0.0000  2 Re 1.94
O: 0.0000 0.5000 0.0000  2 Re 1.94

Values from the calculation:
Its symmetry is P4/mmm. Its energy is -6.56 eV per atom. The calculation puts the calculated density at 8.2 g/cm³. For the total magnetization, the calculation gives 0.00 μB/f.u.

---

Record 20
Entry from Alexandria via LeMat-Bulk: InReOF2 after structural relaxation (PBE).

Cell: 4.4078 4.4078 3.8338 Å, 90.00 90.00 90.00°
With the nearest neighbours (Å) after each atom.
Fractional coordinates of all 5 atoms:
In: 0.5000 0.5000 0.5000  8 F 2.92, 4 O 3.12
O: 0.0000 0.0000 0.5000  2 Re 1.92
Re: 0.0000 0.0000 0.0000  2 O 1.92
F: 0.5000 0.0000 0.0000  2 Re 2.20
F: 0.0000 0.5000 0.0000  2 Re 2.20

Values from the calculation:
Its symmetry is P4/mmm. Its energy is -5.84 eV per atom. The polymorph energy (0 for the lowest one) comes out at 0 meV/atom. The calculation puts the calculated density at 7.9 g/cm³. For the total magnetization, the calculation gives 0.00 μB/f.u.